No. 1
DFT (PBE-GGA) results for crystalline Y2ZrOs at its relaxed geometry.

Cell: 3.4189 4.5413 6.3291 Å, 90.00 104.86 90.00°
Space group Pm (No. 6)
Symmetry-distinct sites (fractional):
Y 0.0000 0.0000 0.0000 (multiplicity 1)
Y 0.3101 0.5000 0.6886 (multiplicity 1)
Zr 0.6733 0.5000 0.2581 (multiplicity 1)
Os 0.5158 0.0000 0.4497 (multiplicity 1)

D(E_F), states/eV/f.u.: 5.00
Formation energy from the elements, eV/atom: 0.054

***

No. 2
DFT (PBE-GGA) results for crystalline YZr2Os2 at its relaxed geometry.

Cell: 4.3397 4.3397 12.0250 Å, 90.00 90.00 90.00°
Space group I4/mmm (No. 139)
Symmetry-distinct sites (fractional):
Y 0.0000 0.0000 0.0000 (multiplicity 2)
Zr 0.0000 0.0000 0.3730 (multiplicity 4)
Os 0.0000 0.5000 0.2500 (multiplicity 4)

D(E_F), states/eV/f.u.: 4.86
Formation energy from the elements, eV/atom: 0.208

***

No. 3
DFT (PBE-GGA) results for crystalline Y2ZrOs4 at its relaxed geometry.

Cell: 4.8263 4.8263 14.2013 Å, 90.00 90.00 90.00°
Space group I4/mmm (No. 139)
Symmetry-distinct sites (fractional):
Y 0.0000 0.0000 0.1314 (multiplicity 4)
Zr 0.0000 0.0000 0.5000 (multiplicity 2)
Os 0.0000 0.0000 0.3244 (multiplicity 4)
Os 0.0000 0.5000 0.0000 (multiplicity 4)

D(E_F), states/eV/f.u.: 6.04
Formation energy from the elements, eV/atom: 1.294

***

No. 4
DFT (PBE-GGA) results for crystalline Y2ZrOs at its relaxed geometry.

Cell: 3.4062 3.4062 8.2430 Å, 90.00 90.00 90.00°
Space group P4/mmm (No. 123)
Symmetry-distinct sites (fractional):
Y 0.0000 0.0000 0.2034 (multiplicity 2)
Zr 0.5000 0.5000 0.5000 (multiplicity 1)
Os 0.5000 0.5000 0.0000 (multiplicity 1)

D(E_F), states/eV/f.u.: 4.97
Formation energy from the elements, eV/atom: 0.032

***

No. 5
DFT (PBE-GGA) results for crystalline YZrOs4 at its relaxed geometry.

Cell: 7.5002 7.5002 7.5002 Å, 90.00 90.00 90.00°
Space group F-43m (No. 216)
Symmetry-distinct sites (fractional):
Y 0.0000 0.0000 0.0000 (multiplicity 4)
Zr 0.2500 0.2500 0.7500 (multiplicity 4)
Os 0.1249 0.1249 0.3751 (multiplicity 16)

D(E_F), states/eV/f.u.: 5.38
Formation energy from the elements, eV/atom: -0.280

***

No. 6
DFT (PBE-GGA) results for crystalline YZrOs2 at its relaxed geometry.

Cell: 2.9935 2.9935 29.7359 Å, 90.00 90.00 120.00°
Space group R3m (No. 160, hexagonal axes)
Symmetry-distinct sites (fractional):
Y 0.0000 0.0000 0.0000 (multiplicity 3)
Zr 0.0000 0.0000 0.7671 (multiplicity 3)
Os 0.0000 0.0000 0.2485 (multiplicity 3)
Os 0.0000 0.0000 0.5149 (multiplicity 3)

D(E_F), states/eV/f.u.: 3.71
Formation energy from the elements, eV/atom: 0.476

***

No. 7
DFT (PBE-GGA) results for crystalline Y2ZrOs at its relaxed geometry.

Cell: 4.9973 4.9973 7.0977 Å, 90.00 90.00 90.00°
Space group I-4m2 (No. 119)
Symmetry-distinct sites (fractional):
Y 0.0000 0.0000 0.0000 (multiplicity 2)
Y 0.0000 0.5000 0.2500 (multiplicity 2)
Zr 0.0000 0.5000 0.7500 (multiplicity 2)
Os 0.0000 0.0000 0.5000 (multiplicity 2)

D(E_F), states/eV/f.u.: 6.30
Formation energy from the elements, eV/atom: 0.120

***

No. 8
DFT (PBE-GGA) results for crystalline YZr2Os2 at its relaxed geometry.

Cell: 4.4140 4.4140 11.4152 Å, 90.00 90.00 90.00°
Space group I4/mmm (No. 139)
Symmetry-distinct sites (fractional):
Y 0.0000 0.0000 0.0000 (multiplicity 2)
Zr 0.0000 0.5000 0.2500 (multiplicity 4)
Os 0.0000 0.0000 0.3906 (multiplicity 4)

D(E_F), states/eV/f.u.: 6.97
Formation energy from the elements, eV/atom: -0.262

***

No. 9
DFT (PBE-GGA) results for crystalline YZrOs2 at its relaxed geometry.

Cell: 7.4614 7.4614 5.7355 Å, 90.00 90.00 90.00°
Space group I-42d (No. 122)
Symmetry-distinct sites (fractional):
Y 0.0000 0.0000 0.0000 (multiplicity 4)
Zr 0.0000 0.0000 0.5000 (multiplicity 4)
Os 0.2345 0.2500 0.6250 (multiplicity 8)

D(E_F), states/eV/f.u.: 4.39
Formation energy from the elements, eV/atom: 0.405

***

No. 10
DFT (PBE-GGA) results for crystalline Y2ZrOs at its relaxed geometry.

Cell: 3.3674 3.3674 8.7355 Å, 90.00 90.00 90.00°
Space group P4mm (No. 99)
Symmetry-distinct sites (fractional):
Y 0.0000 0.0000 0.0000 (multiplicity 1)
Y 0.5000 0.5000 0.3438 (multiplicity 1)
Zr 0.0000 0.0000 0.6239 (multiplicity 1)
Os 0.5000 0.5000 0.7931 (multiplicity 1)

D(E_F), states/eV/f.u.: 4.97
Formation energy from the elements, eV/atom: -0.123

***

No. 11
DFT (PBE-GGA) results for crystalline Y2ZrOs at its relaxed geometry.

Cell: 3.5114 5.1932 10.6194 Å, 90.00 90.00 90.00°
Space group Imm2 (No. 44)
Symmetry-distinct sites (fractional):
Y 0.0000 0.0000 0.0000 (multiplicity 2)
Y 0.0000 0.5000 0.2070 (multiplicity 2)
Zr 0.0000 0.0000 0.4058 (multiplicity 2)
Os 0.0000 0.5000 0.7203 (multiplicity 2)

D(E_F), states/eV/f.u.: 3.78
Formation energy from the elements, eV/atom: -0.169

***

No. 12
DFT (PBE-GGA) results for crystalline YZrOs2 at its relaxed geometry.

Cell: 3.9246 4.1896 10.3172 Å, 90.00 90.00 90.00°
Space group Amm2 (No. 38)
Symmetry-distinct sites (fractional):
Y 0.0000 0.0000 0.0000 (multiplicity 2)
Zr 0.5000 0.0000 0.3015 (multiplicity 2)
Os 0.0000 0.0000 0.7195 (multiplicity 2)
Os 0.5000 0.0000 0.5802 (multiplicity 2)

D(E_F), states/eV/f.u.: 3.90
Formation energy from the elements, eV/atom: -0.078

***

No. 13
DFT (PBE-GGA) results for crystalline YZrOs2 at its relaxed geometry.

Cell: 3.3301 3.3301 6.7876 Å, 90.00 90.00 90.00°
Space group P4/mmm (No. 123)
Symmetry-distinct sites (fractional):
Y 0.0000 0.0000 0.0000 (multiplicity 1)
Zr 0.0000 0.0000 0.5000 (multiplicity 1)
Os 0.5000 0.5000 0.2688 (multiplicity 2)

D(E_F), states/eV/f.u.: 2.68
Formation energy from the elements, eV/atom: -0.295

***

No. 14
DFT (PBE-GGA) results for crystalline YZrOs2 at its relaxed geometry.

Cell: 3.1055 4.4669 5.6195 Å, 90.00 90.00 90.00°
Space group Pmm2 (No. 25)
Symmetry-distinct sites (fractional):
Y 0.0000 0.0000 0.0000 (multiplicity 1)
Zr 0.5000 0.5000 0.3481 (multiplicity 1)
Os 0.0000 0.0000 0.5050 (multiplicity 1)
Os 0.5000 0.5000 0.8271 (multiplicity 1)

D(E_F), states/eV/f.u.: 3.22
Formation energy from the elements, eV/atom: 0.199

***

No. 15
DFT (PBE-GGA) results for crystalline Y2ZrOs at its relaxed geometry.

Cell: 7.1348 7.1348 7.1348 Å, 90.00 90.00 90.00°
Space group Fm-3m (No. 225)
Symmetry-distinct sites (fractional):
Y 0.2500 0.2500 0.2500 (multiplicity 8)
Zr 0.0000 0.0000 0.0000 (multiplicity 4)
Os 0.0000 0.0000 0.5000 (multiplicity 4)

D(E_F), states/eV/f.u.: 5.99
Formation energy from the elements, eV/atom: 0.223

***

No. 16
DFT (PBE-GGA) results for crystalline YZrOs2 at its relaxed geometry.

Cell: 3.2768 4.7034 9.7820 Å, 90.00 90.00 90.00°
Space group Imm2 (No. 44)
Symmetry-distinct sites (fractional):
Y 0.0000 0.0000 0.0000 (multiplicity 2)
Zr 0.0000 0.5000 0.7719 (multiplicity 2)
Os 0.0000 0.0000 0.5162 (multiplicity 2)
Os 0.0000 0.5000 0.2420 (multiplicity 2)

D(E_F), states/eV/f.u.: 3.87
Formation energy from the elements, eV/atom: -0.033

***

No. 17
DFT (PBE-GGA) results for crystalline Y2ZrOs at its relaxed geometry.

Cell: 4.2784 4.2784 4.9265 Å, 90.00 90.00 90.00°
Space group P4/mmm (No. 123)
Symmetry-distinct sites (fractional):
Y 0.0000 0.5000 0.0000 (multiplicity 2)
Zr 0.0000 0.0000 0.5000 (multiplicity 1)
Os 0.5000 0.5000 0.5000 (multiplicity 1)

D(E_F), states/eV/f.u.: 3.88
Formation energy from the elements, eV/atom: 0.186

***

No. 18
DFT (PBE-GGA) results for crystalline Y2ZrOs at its relaxed geometry.

Cell: 3.5097 4.9481 10.7983 Å, 90.00 90.00 90.00°
Space group Immm (No. 71)
Symmetry-distinct sites (fractional):
Y 0.0000 0.0000 0.2057 (multiplicity 4)
Zr 0.0000 0.5000 0.0000 (multiplicity 2)
Os 0.0000 0.5000 0.5000 (multiplicity 2)

D(E_F), states/eV/f.u.: 2.58
Formation energy from the elements, eV/atom: -0.056

***

No. 19
DFT (PBE-GGA) results for crystalline YZr2Os2 at its relaxed geometry.

Cell: 7.8916 7.8916 3.2813 Å, 90.00 90.00 90.00°
Space group P4/mbm (No. 127)
Symmetry-distinct sites (fractional):
Y 0.0000 0.0000 0.0000 (multiplicity 2)
Zr 0.1477 0.3523 0.5000 (multiplicity 4)
Os 0.1442 0.6442 0.0000 (multiplicity 4)

D(E_F), states/eV/f.u.: 3.44
Formation energy from the elements, eV/atom: -0.216

***

No. 20
DFT (PBE-GGA) results for crystalline Y2ZrOs at its relaxed geometry.

Cell: 8.6672 8.6672 5.6792 Å, 90.00 90.00 90.00°
Space group I-42d (No. 122)
Symmetry-distinct sites (fractional):
Y 0.1703 0.2500 0.1250 (multiplicity 8)
Zr 0.0000 0.0000 0.5000 (multiplicity 4)
Os 0.0000 0.0000 0.0000 (multiplicity 4)

D(E_F), states/eV/f.u.: 4.97
Formation energy from the elements, eV/atom: 0.339

***

No. 21
DFT (PBE-GGA) results for crystalline Y2ZrOs at its relaxed geometry.

Cell: 3.3685 3.3685 29.4998 Å, 90.00 90.00 120.00°
Space group R-3m (No. 166, hexagonal axes)
Symmetry-distinct sites (fractional):
Y 0.0000 0.0000 0.2373 (multiplicity 6)
Zr 0.0000 0.0000 0.0000 (multiplicity 3)
Os 0.0000 0.0000 0.5000 (multiplicity 3)

D(E_F), states/eV/f.u.: 7.05
Formation energy from the elements, eV/atom: 0.255

***

No. 22
DFT (PBE-GGA) results for crystalline Yb3Os at its relaxed geometry.

Cell: 5.0626 5.0626 7.2296 Å, 90.00 90.00 90.00°
Space group I4/mmm (No. 139)
Symmetry-distinct sites (fractional):
Yb 0.0000 0.0000 0.0000 (multiplicity 2)
Yb 0.0000 0.5000 0.2500 (multiplicity 4)
Os 0.0000 0.0000 0.5000 (multiplicity 2)

D(E_F), states/eV/f.u.: 28.97
Formation energy from the elements, eV/atom: 0.121

***

No. 23
DFT (PBE-GGA) results for crystalline YbOs2 at its relaxed geometry.

Cell: 5.2879 5.2879 8.7156 Å, 90.00 90.00 120.00°
Space group P6_3/mmc (No. 194)
Symmetry-distinct sites (fractional):
Yb 0.3333 0.6667 0.0666 (multiplicity 4)
Os 0.0000 0.0000 0.0000 (multiplicity 2)
Os 0.1726 0.3452 0.7500 (multiplicity 6)

D(E_F), states/eV/f.u.: 3.18
Formation energy from the elements, eV/atom: -0.092

***

No. 24
DFT (PBE-GGA) results for crystalline YbOs3 at its relaxed geometry.

Cell: 4.0431 4.0431 7.9825 Å, 90.00 90.00 90.00°
Space group I4/mmm (No. 139)
Symmetry-distinct sites (fractional):
Yb 0.0000 0.0000 0.0000 (multiplicity 2)
Os 0.0000 0.0000 0.5000 (multiplicity 2)
Os 0.0000 0.5000 0.2500 (multiplicity 4)

D(E_F), states/eV/f.u.: 6.80
Formation energy from the elements, eV/atom: 0.593

***

No. 25
DFT (PBE-GGA) results for crystalline Zn4Os5 at its relaxed geometry.

Cell: 9.6417 9.6417 2.8136 Å, 90.00 90.00 90.00°
Space group I4/mmm (No. 139)
Symmetry-distinct sites (fractional):
Zn 0.0000 0.3325 0.0000 (multiplicity 8)
Os 0.0000 0.0000 0.0000 (multiplicity 2)
Os 0.1684 0.1684 0.5000 (multiplicity 8)

D(E_F), states/eV/f.u.: 8.51
Formation energy from the elements, eV/atom: 0.429

***

No. 26
DFT (PBE-GGA) results for crystalline Zn2Os3 at its relaxed geometry.

Cell: 4.0602 4.0602 5.4298 Å, 90.00 90.00 120.00°
Space group P-3m1 (No. 164)
Symmetry-distinct sites (fractional):
Zn 0.3333 0.6667 0.3565 (multiplicity 2)
Os 0.0000 0.0000 0.5000 (multiplicity 1)
Os 0.3333 0.6667 0.8972 (multiplicity 2)

D(E_F), states/eV/f.u.: 5.01
Formation energy from the elements, eV/atom: 0.953

***

No. 27
DFT (PBE-GGA) results for crystalline ZnOs2 at its relaxed geometry.

Cell: 9.9238 2.7797 6.3848 Å, 90.00 104.31 90.00°
Space group C2/m (No. 12)
Symmetry-distinct sites (fractional):
Zn 0.1951 0.0000 0.1334 (multiplicity 4)
Os 0.0260 0.5000 0.7993 (multiplicity 4)
Os 0.1350 0.0000 0.5218 (multiplicity 4)

D(E_F), states/eV/f.u.: 2.47
Formation energy from the elements, eV/atom: 0.172

***

No. 28
DFT (PBE-GGA) results for crystalline ZnOs4 at its relaxed geometry.

Cell: 4.3789 4.3789 4.3789 Å, 90.00 90.00 90.00°
Space group Pm-3m (No. 221)
Symmetry-distinct sites (fractional):
Zn 0.0000 0.0000 0.0000 (multiplicity 1)
Os 0.0000 0.0000 0.5000 (multiplicity 3)
Os 0.5000 0.5000 0.5000 (multiplicity 1)

D(E_F), states/eV/f.u.: 7.70
Formation energy from the elements, eV/atom: 2.324